Below is Mg2FeF after structural relaxation, with properties calculated at the GGA+U level.

Cell lengths 6.2727, 6.2727, 5.7353 Å; angles 56.85, 56.85, 90.00 degrees
Last column: nearest neighbours and their distance in Å.
Fractional coordinates of all 8 atoms:
Mg (0.5437, 0.1250, 0.2500)  2 F 2.10
Mg (0.2063, 0.6250, 0.2500)  2 F 2.10
Mg (0.3750, 0.4563, 0.7500)  2 F 2.10
Mg (0.8750, 0.7937, 0.7500)  2 F 2.10
Fe (0.0000, 0.0000, 0.0000)  4 Mg 2.76
Fe (0.7500, 0.2500, 0.5000)  4 Mg 2.76
F (0.5000, 0.5000, 0.0000)  4 Mg 2.10
F (0.2500, 0.7500, 0.5000)  4 Mg 2.10

Results
V: 71.5 Å³/f.u.
DOS(E_F): 0.127 states/eV per atom
Uncorrected energy: -3.334 eV/atom
Magnetization: 2.99 μB per formula unit
Polymorph energy (0 for the lowest one): 0.0 meV/atom